# Pm3Hg2Pd2

A relaxed Pm3Hg2Pd2 crystal (PBE, Alexandria).

a = 11.617 Å, b = 11.617 Å, c = 3.788 Å
α = 90.00°, β = 90.00°, γ = 159.89°
Fractional positions:
Pm 0.000 0.000 0.000
Pm 0.168 0.832 0.000
Pm 0.832 0.168 0.000
Hg 0.419 0.581 0.500
Hg 0.581 0.419 0.500
Pd 0.289 0.711 0.500
Pd 0.711 0.289 0.500

# Pm4HgPd

A relaxed Pm4HgPd crystal (PBE, Alexandria).

a = 8.347 Å, b = 8.347 Å, c = 6.082 Å
α = 103.15°, β = 103.15°, γ = 114.94°
Fractional positions:
Pm 0.075 0.697 0.924
Pm 0.208 0.358 0.665
Pm 0.303 0.925 0.576
Pm 0.358 0.208 0.165
Pm 0.642 0.792 0.835
Pm 0.697 0.075 0.424
Pm 0.792 0.642 0.335
Pm 0.925 0.303 0.076
Hg 0.382 0.618 0.250
Hg 0.618 0.382 0.750
Pd 0.001 0.999 0.750
Pd 0.999 0.001 0.250

# PmHgPd

A relaxed PmHgPd crystal (PBE, Alexandria).

a = 4.233 Å, b = 5.011 Å, c = 6.866 Å
α = 90.00°, β = 108.04°, γ = 90.00°
Fractional positions:
Pm 0.108 0.250 0.216
Pm 0.892 0.750 0.784
Hg 0.412 0.250 0.822
Hg 0.588 0.750 0.178
Pd 0.237 0.750 0.475
Pd 0.763 0.250 0.525

Number 1: Fermi-level density of states 5.6 states/eV/cell, E_form -0.66 eV per atom, magnetization 0.261 Bohr magnetons per cell. Number 2: Fermi-level density of states 14.2 states/eV/cell, E_form -0.37 eV per atom, magnetization 0.000 Bohr magnetons per cell. Number 3: Fermi-level density of states 3.8 states/eV/cell, E_form -0.56 eV per atom, magnetization 0.000 Bohr magnetons per cell.